1.
TbHoLu2: relaxed, PBE.

abc: 4.916 4.951 4.951
angles: 90.00 90.00 90.00
Positions (direct):
Lu (0.000, 0.000, 0.500)
Tb (0.500, 0.500, 0.500)
Ho (0.500, 0.000, 0.000)
Lu (0.000, 0.500, 0.000)

Calculated values
Crystal system ... tetragonal
ΔE to the lowest computed polymorph ... 0.0004 eV/atom
ΔE_f ... 0.67 kcal/mol of atoms
Energy ... -4.533 eV per atom
SG ... P4/mmm
Theoretical density ... 9.3 g/cm³
Density of states at the Fermi level ... 1.4966 states/eV/atom

---

2.
TbHoLu2: relaxed, PBE.

abc: 3.498 3.498 9.863
angles: 90.00 90.00 90.00
Positions (direct):
Lu (0.000, 0.000, 0.249)
Ho (0.500, 0.500, 0.000)
Tb (0.500, 0.500, 0.500)
Lu (0.000, 0.000, 0.751)

Calculated values
Crystal system ... tetragonal
ΔE to the lowest computed polymorph ... 0.0000 eV/atom
ΔE_f ... 0.66 kcal/mol of atoms
Energy ... -4.534 eV per atom
SG ... P4/mmm
Theoretical density ... 9.3 g/cm³
Density of states at the Fermi level ... 1.3979 states/eV/atom

---

3.
TbHoLuTh: relaxed, PBE.

abc: 5.628 5.628 5.628
angles: 60.00 60.00 60.00
Positions (direct):
Lu (0.250, 0.250, 0.250)
Ho (0.750, 0.750, 0.750)
Tb (0.500, 0.500, 0.500)
Th (0.000, 0.000, 0.000)

Calculated values
Crystal system ... cubic
ΔE_f ... 2.90 kcal/mol of atoms
Energy ... -5.162 eV per atom
SG ... F-43m
Theoretical density ... 9.6 g/cm³
Density of states at the Fermi level ... 1.8838 states/eV/atom

---

4.
TbHoLuTl: relaxed, PBE.

abc: 5.433 5.433 5.433
angles: 60.00 60.00 60.00
Each line ends with the local moment (μB).
Positions (direct):
Tb (0.750, 0.750, 0.750)  0.26
Tl (0.000, 0.000, 0.000)  0.00
Ho (0.250, 0.250, 0.250)  0.28
Lu (0.500, 0.500, 0.500)  0.27

Calculated values
Crystal system ... cubic
ΔE_f ... -0.86 kcal/mol of atoms
Energy ... -4.061 eV per atom
SG ... F-43m
Theoretical density ... 10.3 g/cm³
Density of states at the Fermi level ... 1.4989 states/eV/atom

---

5.
TbHoLuZn: relaxed, PBE.

abc: 5.287 5.287 5.287
angles: 60.00 60.00 60.00
Positions (direct):
Tb (0.250, 0.250, 0.250)
Zn (0.000, 0.000, 0.000)
Ho (0.750, 0.750, 0.750)
Lu (0.500, 0.500, 0.500)

Calculated values
Crystal system ... cubic
ΔE_f ... 0.49 kcal/mol of atoms
Energy ... -3.730 eV per atom
SG ... F-43m
Theoretical density ... 9.0 g/cm³
Density of states at the Fermi level ... 0.9952 states/eV/atom

---

6.
HoLu3Tc: relaxed, PBE.

abc: 5.282 5.282 5.282
angles: 90.00 90.00 90.00
Positions (direct):
Ho (0.500, 0.500, 0.500)
Tc (0.000, 0.000, 0.000)
Lu (0.500, 0.000, 0.000)
Lu (0.000, 0.500, 0.000)
Lu (0.000, 0.000, 0.500)

Calculated values
Crystal system ... cubic
ΔE_f ... 2.74 kcal/mol of atoms
Energy ... -5.583 eV per atom
SG ... Pm-3m
Theoretical density ... 8.9 g/cm³
Density of states at the Fermi level ... 1.3670 states/eV/atom

---

7.
HoLu2Tc: relaxed, PBE.

abc: 3.399 3.399 8.690
angles: 90.00 90.00 90.00
Positions (direct):
Lu (0.000, 0.000, 0.815)
Lu (0.000, 0.000, 0.185)
Ho (0.500, 0.500, 0.500)
Tc (0.500, 0.500, 0.000)

Calculated values
Crystal system ... tetragonal
ΔE_f ... -0.97 kcal/mol of atoms
Energy ... -6.039 eV per atom
SG ... P4/mmm
Theoretical density ... 10.1 g/cm³
Density of states at the Fermi level ... 1.4830 states/eV/atom

---

8.
HoLuThTc: relaxed, PBE.

abc: 5.193 5.193 5.193
angles: 60.00 60.00 60.00
Positions (direct):
Tc (0.250, 0.250, 0.250)
Lu (0.750, 0.750, 0.750)
Th (0.500, 0.500, 0.500)
Ho (0.000, 0.000, 0.000)

Calculated values
Crystal system ... cubic
ΔE_f ... 3.36 kcal/mol of atoms
Energy ... -6.575 eV per atom
SG ... F-43m
Theoretical density ... 11.2 g/cm³
Density of states at the Fermi level ... 1.4432 states/eV/atom

---

9.
HoLuTlTc: relaxed, PBE.

abc: 5.032 5.032 5.032
angles: 60.00 60.00 60.00
Positions (direct):
Ho (0.750, 0.750, 0.750)
Lu (0.250, 0.250, 0.250)
Tc (0.500, 0.500, 0.500)
Tl (0.000, 0.000, 0.000)

Calculated values
Crystal system ... cubic
ΔE_f ... -1.87 kcal/mol of atoms
Energy ... -5.539 eV per atom
SG ... F-43m
Theoretical density ... 11.8 g/cm³
Density of states at the Fermi level ... 0.7066 states/eV/atom

---

10.
Ho2LuTe: relaxed, PBE.

abc: 3.813 3.813 10.052
angles: 79.07 79.07 60.00
Positions (direct):
Te (0.000, 0.000, 0.000)
Ho (0.260, 0.260, 0.219)
Ho (0.740, 0.740, 0.781)
Lu (0.500, 0.500, 0.500)

Calculated values
Crystal system ... trigonal
ΔE to the lowest computed polymorph ... 0.0457 eV/atom
Energy ... -4.699 eV per atom
SG ... R-3m
Theoretical density ... 8.5 g/cm³
Density of states at the Fermi level ... 1.0555 states/eV/atom

---

11.
HoLu2Te: relaxed, PBE.

abc: 3.797 3.797 7.787
angles: 90.00 90.00 90.00
Positions (direct):
Ho (0.500, 0.500, 0.500)
Lu (0.000, 0.000, 0.772)
Te (0.500, 0.500, 0.000)
Lu (0.000, 0.000, 0.228)

Calculated values
Crystal system ... tetragonal
ΔE to the lowest computed polymorph ... 0.0000 eV/atom
Energy ... -4.697 eV per atom
SG ... P4/mmm
Theoretical density ... 9.5 g/cm³
Density of states at the Fermi level ... 1.1599 states/eV/atom

---

12.
Ho2LuTe: relaxed, PBE.

abc: 3.887 3.887 7.481
angles: 90.00 90.00 90.00
Positions (direct):
Ho (0.000, 0.000, 0.233)
Ho (0.000, 0.000, 0.767)
Te (0.500, 0.500, 0.000)
Lu (0.500, 0.500, 0.500)

Calculated values
Crystal system ... tetragonal
ΔE to the lowest computed polymorph ... 0.0000 eV/atom
Energy ... -4.744 eV per atom
SG ... P4/mmm
Theoretical density ... 9.3 g/cm³
Density of states at the Fermi level ... 1.2193 states/eV/atom

---

13.
HoLu2Te: relaxed, PBE.

abc: 3.702 3.702 11.078
angles: 80.38 80.38 60.00
Positions (direct):
Lu (0.898, 0.898, 0.307)
Ho (0.000, 0.000, 0.000)
Te (0.500, 0.500, 0.500)
Lu (0.102, 0.102, 0.693)

Calculated values
Crystal system ... trigonal
ΔE to the lowest computed polymorph ... 0.3802 eV/atom
Energy ... -4.317 eV per atom
SG ... R-3m
Theoretical density ... 8.3 g/cm³
Density of states at the Fermi level ... 1.3489 states/eV/atom

---

14.
HoLuTh2: relaxed, PBE.

abc: 4.979 5.019 5.019
angles: 90.00 90.00 90.00
Positions (direct):
Th (0.000, 0.000, 0.500)
Th (0.000, 0.500, 0.000)
Lu (0.500, 0.000, 0.000)
Ho (0.500, 0.500, 0.500)

Calculated values
Crystal system ... tetragonal
ΔE to the lowest computed polymorph ... 0.0014 eV/atom
ΔE_f ... 0.80 kcal/mol of atoms
Energy ... -5.950 eV per atom
SG ... P4/mmm
Theoretical density ... 10.6 g/cm³
Density of states at the Fermi level ... 1.4447 states/eV/atom

---

15.
HoLuTh2: relaxed, PBE.

abc: 5.614 5.614 5.614
angles: 60.00 60.00 60.00
Positions (direct):
Ho (0.000, 0.000, 0.000)
Th (0.750, 0.750, 0.750)
Lu (0.500, 0.500, 0.500)
Th (0.250, 0.250, 0.250)

Calculated values
Crystal system ... cubic
ΔE to the lowest computed polymorph ... 0.0864 eV/atom
ΔE_f ... 2.76 kcal/mol of atoms
Energy ... -5.865 eV per atom
SG ... Fm-3m
Theoretical density ... 10.7 g/cm³
Density of states at the Fermi level ... 1.1629 states/eV/atom

---

16.
HoLu2Th: relaxed, PBE.

abc: 4.917 4.982 4.982
angles: 90.00 90.00 90.00
Positions (direct):
Th (0.500, 0.000, 0.000)
Ho (0.500, 0.500, 0.500)
Lu (0.000, 0.000, 0.500)
Lu (0.000, 0.500, 0.000)

Calculated values
Crystal system ... tetragonal
ΔE to the lowest computed polymorph ... 0.0105 eV/atom
ΔE_f ... 0.79 kcal/mol of atoms
Energy ... -5.225 eV per atom
SG ... P4/mmm
Theoretical density ... 10.2 g/cm³
Density of states at the Fermi level ... 1.5982 states/eV/atom

---

17.
HoLu4Th: relaxed, PBE.

abc: 6.450 6.450 6.450
angles: 60.00 60.00 60.00
Each line ends with the local moment (μB).
Positions (direct):
Th (0.250, 0.250, 0.250)  0.38
Lu (0.625, 0.625, 0.125)  0.23
Lu (0.625, 0.625, 0.625)  0.23
Lu (0.625, 0.125, 0.625)  0.23
Ho (0.000, 0.000, 0.000)  0.38
Lu (0.125, 0.625, 0.625)  0.23

Calculated values
Crystal system ... cubic
ΔE_f ... 7.46 kcal/mol of atoms
Energy ... -4.690 eV per atom
SG ... F-43m
Theoretical density ... 9.6 g/cm³
Density of states at the Fermi level ... 2.5725 states/eV/atom

---

18.
HoLuTh2: relaxed, PBE.

abc: 3.549 3.549 11.594
angles: 81.19 81.19 60.00
Positions (direct):
Th (0.751, 0.751, 0.748)
Lu (0.500, 0.500, 0.500)
Th (0.249, 0.249, 0.252)
Ho (0.000, 0.000, 0.000)

Calculated values
Crystal system ... trigonal
ΔE to the lowest computed polymorph ... 0.0000 eV/atom
ΔE_f ... 0.77 kcal/mol of atoms
Energy ... -5.951 eV per atom
SG ... R-3m
Theoretical density ... 10.7 g/cm³
Density of states at the Fermi level ... 1.4545 states/eV/atom

---

19.
HoLuTh2: relaxed, PBE.

abc: 3.545 3.545 9.970
angles: 90.00 90.00 90.00
Positions (direct):
Th (0.000, 0.000, 0.248)
Lu (0.500, 0.500, 0.000)
Ho (0.500, 0.500, 0.500)
Th (0.000, 0.000, 0.752)

Calculated values
Crystal system ... tetragonal
ΔE to the lowest computed polymorph ... 0.0062 eV/atom
ΔE_f ... 0.91 kcal/mol of atoms
Energy ... -5.945 eV per atom
SG ... P4/mmm
Theoretical density ... 10.7 g/cm³
Density of states at the Fermi level ... 1.3222 states/eV/atom

---

20.
HoLu2Th: relaxed, PBE.

abc: 5.587 5.587 5.587
angles: 60.00 60.00 60.00
Positions (direct):
Th (0.000, 0.000, 0.000)
Lu (0.750, 0.750, 0.750)
Lu (0.250, 0.250, 0.250)
Ho (0.500, 0.500, 0.500)

Calculated values
Crystal system ... cubic
ΔE to the lowest computed polymorph ... 0.0844 eV/atom
ΔE_f ... 2.50 kcal/mol of atoms
Energy ... -5.151 eV per atom
SG ... Fm-3m
Theoretical density ... 10.1 g/cm³
Density of states at the Fermi level ... 1.7322 states/eV/atom

---

21.
HoLu2Th: relaxed, PBE.

abc: 3.516 3.516 9.924
angles: 90.00 90.00 90.00
Positions (direct):
Ho (0.500, 0.500, 0.500)
Lu (0.000, 0.000, 0.247)
Th (0.500, 0.500, 0.000)
Lu (0.000, 0.000, 0.753)

Calculated values
Crystal system ... tetragonal
ΔE to the lowest computed polymorph ... 0.0000 eV/atom
ΔE_f ... 0.55 kcal/mol of atoms
Energy ... -5.236 eV per atom
SG ... P4/mmm
Theoretical density ... 10.1 g/cm³
Density of states at the Fermi level ... 1.5156 states/eV/atom

---

22.
HoLuThTl: relaxed, PBE.

abc: 5.471 5.471 5.471
angles: 60.00 60.00 60.00
Positions (direct):
Lu (0.500, 0.500, 0.500)
Th (0.750, 0.750, 0.750)
Ho (0.250, 0.250, 0.250)
Tl (0.000, 0.000, 0.000)

Calculated values
Crystal system ... cubic
ΔE_f ... 0.73 kcal/mol of atoms
Energy ... -4.690 eV per atom
SG ... F-43m
Theoretical density ... 11.1 g/cm³
Density of states at the Fermi level ... 1.7541 states/eV/atom

---

23.
HoTmLuTh: relaxed, PBE.

abc: 5.599 5.599 5.599
angles: 60.00 60.00 60.00
Positions (direct):
Lu (0.750, 0.750, 0.750)
Ho (0.500, 0.500, 0.500)
Th (0.000, 0.000, 0.000)
Tm (0.250, 0.250, 0.250)

Calculated values
Crystal system ... cubic
ΔE_f ... 2.72 kcal/mol of atoms
Energy ... -5.130 eV per atom
SG ... F-43m
Theoretical density ... 9.9 g/cm³
Density of states at the Fermi level ... 1.8086 states/eV/atom

---

24.
YHoLuTh: relaxed, PBE.

abc: 5.634 5.634 5.634
angles: 60.00 60.00 60.00
Positions (direct):
Th (0.000, 0.000, 0.000)
Lu (0.250, 0.250, 0.250)
Ho (0.750, 0.750, 0.750)
Y (0.500, 0.500, 0.500)

Calculated values
Crystal system ... cubic
ΔE_f ... 2.96 kcal/mol of atoms
Energy ... -5.617 eV per atom
SG ... F-43m
Theoretical density ... 8.7 g/cm³
Density of states at the Fermi level ... 1.9106 states/eV/atom

---

25.
HoLuTi4: relaxed, PBE.

abc: 5.763 5.763 5.763
angles: 60.00 60.00 60.00
Each line ends with the local moment (μB).
Positions (direct):
Ho (0.250, 0.250, 0.250)  0.75
Ti (0.626, 0.123, 0.626)  1.33
Lu (0.000, 0.000, 0.000)  0.58
Ti (0.626, 0.626, 0.626)  1.33
Ti (0.626, 0.626, 0.123)  1.33
Ti (0.123, 0.626, 0.626)  1.33

Calculated values
Crystal system ... cubic
ΔE_f ... 5.25 kcal/mol of atoms
Energy ... -6.552 eV per atom
SG ... F-43m
Theoretical density ... 6.5 g/cm³
Density of states at the Fermi level ... 1.4372 states/eV/atom

---

26.
HoLu2Ti: relaxed, PBE.

abc: 4.731 4.717 4.717
angles: 90.00 90.00 90.00
Each line ends with the local moment (μB).
Positions (direct):
Lu (0.000, 0.000, 0.500)  -0.03
Ho (0.500, 0.500, 0.500)  -0.01
Ti (0.500, 0.000, 0.000)  -0.73
Lu (0.000, 0.500, 0.000)  -0.03

Calculated values
Crystal system ... tetragonal
ΔE to the lowest computed polymorph ... 0.0386 eV/atom
ΔE_f ... 4.26 kcal/mol of atoms
Energy ... -5.194 eV per atom
SG ... P4/mmm
Theoretical density ... 8.9 g/cm³
Density of states at the Fermi level ... 1.5495 states/eV/atom

---

27.
HoLu2Ti: relaxed, PBE.

abc: 3.331 3.331 9.464
angles: 90.00 90.00 90.00
Positions (direct):
Ti (0.500, 0.500, 0.000)
Lu (0.000, 0.000, 0.781)
Lu (0.000, 0.000, 0.219)
Ho (0.500, 0.500, 0.500)

Calculated values
Crystal system ... tetragonal
ΔE to the lowest computed polymorph ... 0.0000 eV/atom
ΔE_f ... 3.37 kcal/mol of atoms
Energy ... -5.233 eV per atom
SG ... P4/mmm
Theoretical density ... 8.9 g/cm³
Density of states at the Fermi level ... 1.6671 states/eV/atom

---

28.
HoLuTi: relaxed, PBE.

abc: 3.262 5.208 5.208
angles: 120.00 90.00 90.00
Each line ends with the local moment (μB).
Positions (direct):
Ti (0.167, 0.333, 0.667)  -1.02
Lu (0.166, 0.000, 0.000)  -0.14
Ho (0.667, 0.667, 0.333)  -0.11

Calculated values
Crystal system ... hexagonal
ΔE_f ... 4.90 kcal/mol of atoms
Energy ... -5.452 eV per atom
SG ... P-6m2
Theoretical density ... 8.4 g/cm³
Density of states at the Fermi level ... 1.3383 states/eV/atom

---

29.
HoLuTl: relaxed, PBE.

abc: 5.117 5.117 5.117
angles: 60.00 60.00 60.00
Positions (direct):
Ho (0.500, 0.500, 0.500)
Tl (0.250, 0.250, 0.250)
Lu (0.000, 0.000, 0.000)

Calculated values
Crystal system ... cubic
ΔE to the lowest computed polymorph ... 0.1994 eV/atom
ΔE_f ... -0.50 kcal/mol of atoms
Energy ... -3.844 eV per atom
SG ... F-43m
Theoretical density ... 9.5 g/cm³
Density of states at the Fermi level ... 1.1727 states/eV/atom

---

30.
HoLuTl: relaxed, PBE.

abc: 3.521 3.521 7.237
angles: 104.08 104.08 90.00
Positions (direct):
Lu (0.276, 0.276, 0.552)
Tl (0.618, 0.618, 0.236)
Ho (0.956, 0.956, 0.912)

Calculated values
Crystal system ... tetragonal
ΔE to the lowest computed polymorph ... 0.0000 eV/atom
ΔE_f ... -5.10 kcal/mol of atoms
Energy ... -4.043 eV per atom
SG ... I4mm
Theoretical density ... 10.7 g/cm³
Density of states at the Fermi level ... 1.0932 states/eV/atom

---

31.
HoLu2Tl: relaxed, PBE.

abc: 5.389 5.389 5.389
angles: 60.00 60.00 60.00
Each line ends with the local moment (μB).
Positions (direct):
Ho (0.000, 0.000, 0.000)  -0.35
Tl (0.500, 0.500, 0.500)  0.00
Lu (0.750, 0.750, 0.750)  -0.22
Lu (0.250, 0.250, 0.250)  -0.22

Calculated values
Crystal system ... cubic
ΔE to the lowest computed polymorph ... 0.1873 eV/atom
ΔE_f ... 0.61 kcal/mol of atoms
Energy ... -3.970 eV per atom
SG ... Fm-3m
Theoretical density ... 10.8 g/cm³
Density of states at the Fermi level ... 1.5736 states/eV/atom